[1]
VASP calculation (meta-GGA SCAN) on a PBEsol-optimized structure of UCdO4.

Lattice parameters (Å, degrees): 4.939 4.939 3.494 90.00 90.00 91.63
Sites, in units of the cell vectors:
U (0.000, 0.000, 0.000)
Cd (0.500, 0.500, 0.500)
O (0.177, 0.823, 0.500)
O (0.285, 0.285, 0.000)
O (0.715, 0.715, 0.000)
O (0.823, 0.177, 0.500)

Formation energy (no corrections) in meV per atom: -2641
Uncorrected energy in eV/atom: -29.119
Symmetry: Cmmm (65)
Total magnetic moment in μB/f.u.: 0.00
Density in kg/m3: 8078

---

[2]
VASP calculation (meta-GGA SCAN) on a PBEsol-optimized structure of V2Pb3O8.

Lattice parameters (Å, degrees): 7.382 6.354 9.294 90.00 114.63 90.00
Sites, in units of the cell vectors:
V (0.205, 0.018, 0.403)
V (0.205, 0.482, 0.903)
V (0.795, 0.518, 0.097)
V (0.795, 0.982, 0.597)
Pb (0.000, 0.000, 0.000)
Pb (0.000, 0.500, 0.500)
Pb (0.390, 0.601, 0.292)
Pb (0.390, 0.899, 0.792)
Pb (0.610, 0.101, 0.208)
Pb (0.610, 0.399, 0.708)
O (0.037, 0.540, 0.227)
O (0.037, 0.960, 0.727)
O (0.248, 0.703, 0.024)
O (0.248, 0.797, 0.524)
O (0.275, 0.236, 0.521)
O (0.275, 0.264, 0.021)
O (0.336, 0.523, 0.788)
O (0.336, 0.977, 0.288)
O (0.664, 0.023, 0.712)
O (0.664, 0.477, 0.212)
O (0.725, 0.736, 0.979)
O (0.725, 0.764, 0.479)
O (0.752, 0.203, 0.476)
O (0.752, 0.297, 0.976)
O (0.963, 0.040, 0.273)
O (0.963, 0.460, 0.773)

Formation energy (no corrections) in meV per atom: -2036
Uncorrected energy in eV/atom: -26.049
Symmetry: P2_1/c (14)
Total magnetic moment in μB/f.u.: 0.00
Density in kg/m3: 7137